Density functional theory data (PBE with a Hubbard U) for a relaxed structure of FeHg2F.

Output
**V**: 328 Å³/cell
**Polymorph energy (0 for the lowest one)**: 0 meV per atom
**Calculated total energy**: -36.24 eV for the cell shown

Unit cell a=7.606 b=7.606 c=5.667 alpha=90.00 beta=90.00 gamma=90.00
Space group I-42d (No. 122)
Symmetry-distinct sites (fractional):
Fe 0.000 0.000 0.000 [4 per cell]
Hg 0.239 0.750 0.625 [8 per cell]
F 0.000 0.000 0.500 [4 per cell]